Here is NaLa2HS after structural relaxation from the Alexandria database. Energies are from GGA-PBEsol.

Cell and atoms, written as extended XYZ:
```
5
Lattice="4.975 0.000 0.000 0.000 5.485 0.000 0.000 0.000 5.485" Properties=species:S:1:pos:R:3 pbc="T T T"
S 0.000 0.000 0.000
La 0.000 2.742 0.000
H 2.487 2.742 2.742
La 0.000 0.000 2.742
Na 2.487 0.000 0.000
```

Summary:
DOS(E_F) = 6.90 states/eV/f.u.
E_tot = -4.092 eV/atom